--- w ---
Compound: Sc2Cd3In3
Source: OQMD via LeMat-Bulk
Functional: PBE
Structure: optimized geometry

Unit cell a=4.4483 b=4.5341 c=8.7808 alpha=90.00 beta=90.00 gamma=90.00
Closest atoms and distances in Å follow each position.
Fractional coordinates of all 8 atoms:
Cd: 0.0000 0.5000 0.0000  4 Cd 3.09, 4 Sc 3.17, 4 In 3.18
Cd: 0.5000 0.5000 0.2450  2 Cd 3.09, 6 In 3.13-3.19, 4 Sc 3.18
Cd: 0.5000 0.5000 0.7550  2 Cd 3.09, 6 In 3.13-3.19, 4 Sc 3.18
In: 0.5000 0.0000 0.0000  8 Cd 3.13-3.18, 4 Sc 3.14
In: 0.5000 0.0000 0.5000  4 Sc 3.11, 4 In 3.18, 4 Cd 3.19
In: 0.0000 0.5000 0.5000  4 Sc 3.14, 4 Cd 3.16, 4 In 3.18
Sc: 0.0000 0.0000 0.2524  6 In 3.11-3.14, 6 Cd 3.17-3.18
Sc: 0.0000 0.0000 0.7476  6 In 3.11-3.14, 6 Cd 3.17-3.18

Values from the calculation:
The space group is Pmmm. The volume is 177.1 Å³ per cell. The value obtained for the total moment is 0.0 μB/f.u. Its theoretical density is 7.23 g cm⁻³.

--- x ---
Compound: Sc2Cd3In3
Source: OQMD via LeMat-Bulk
Functional: PBE
Structure: optimized geometry

Unit cell a=6.2628 b=5.0954 c=6.3575 alpha=90.00 beta=118.43 gamma=90.00
Closest atoms and distances in Å follow each position.
Fractional coordinates of all 8 atoms:
Cd: 0.8287 0.5000 0.1615  6 In 3.07-3.20, 2 Cd 3.11, 4 Sc 3.16-3.23
Cd: 0.1719 0.0000 0.8344  2 Cd 3.07-3.19, 6 In 3.12-3.21, 4 Sc 3.15-3.25
Cd: 0.6663 0.0000 0.8435  4 Cd 3.07-3.19, 4 Sc 3.14-3.18, 4 In 3.16-3.28
In: 0.3361 0.5000 0.1561  4 Cd 3.07-3.19, 4 Sc 3.14-3.19, 4 In 3.18-3.28
In: 0.1591 0.0000 0.3339  4 Sc 3.12-3.14, 6 Cd 3.13-3.28, 2 In 3.19
In: 0.8378 0.5000 0.6697  4 Sc 3.12-3.15, 6 Cd 3.14-3.20, 2 In 3.18-3.28
Sc: 0.6661 0.0000 0.3443  6 In 3.12-3.14, 6 Cd 3.16-3.25
Sc: 0.3340 0.5000 0.6566  6 In 3.12-3.19, 6 Cd 3.14-3.23

Values from the calculation:
The space group is Pm. The volume is 178.4 Å³ per cell. The value obtained for the total moment is 0.0 μB/f.u. Its theoretical density is 7.18 g cm⁻³.

Which one is most stable, and which one is least stable? w is the most stable of them, while x is the least stable.

--- w ---
Compound: SmCdInSe3
Source: OQMD via LeMat-Bulk
Functional: PBE
Structure: optimized geometry

Unit cell a=12.3594 b=4.3635 c=12.5561 alpha=90.00 beta=90.00 gamma=90.00
Closest atoms and distances in Å follow each position.
Fractional coordinates of all 24 atoms:
Cd: 0.7544 0.0000 0.1949  4 Se 2.63-2.71
Cd: 0.2544 0.0000 0.3051  4 Se 2.63-2.71
Cd: 0.7456 0.5000 0.6949  4 Se 2.63-2.71
Cd: 0.2456 0.5000 0.8051  4 Se 2.63-2.71
In: 0.1597 0.0000 0.0088  3 Se 3.05-3.18
In: 0.6597 0.0000 0.4912  3 Se 3.05-3.18
In: 0.3403 0.5000 0.5088  3 Se 3.05-3.18
In: 0.8403 0.5000 0.9912  3 Se 3.05-3.18
Se: 0.5898 0.0000 0.0624  1 Cd 2.63
Se: 0.9685 0.0000 0.1621  1 Cd 2.68
Se: 0.2346 0.5000 0.1782  2 Cd 2.71, 1 Sm 2.95
Se: 0.7346 0.5000 0.3218  2 Cd 2.71, 1 Sm 2.95
Se: 0.4685 0.0000 0.3379  1 Cd 2.68
Se: 0.0898 0.0000 0.4376  1 Cd 2.63
Se: 0.9102 0.5000 0.5624  1 Cd 2.63
Se: 0.5315 0.5000 0.6621  1 Cd 2.68
Se: 0.2654 0.0000 0.6782  2 Cd 2.71, 1 Sm 2.95
Se: 0.7654 0.0000 0.8218  2 Cd 2.71, 1 Sm 2.95
Se: 0.0315 0.5000 0.8379  1 Cd 2.68
Se: 0.4102 0.5000 0.9376  1 Cd 2.63
Sm: 0.4736 0.5000 0.1729  6 Se 2.95-3.06
Sm: 0.9736 0.5000 0.3271  6 Se 2.95-3.06
Sm: 0.0264 0.0000 0.6729  6 Se 2.95-3.06
Sm: 0.5264 0.0000 0.8271  6 Se 2.95-3.06

Values from the calculation:
The space group is Pnma. The volume is 677.2 Å³ per cell. The value obtained for the total moment is 0.0 μB/f.u. Its theoretical density is 6.03 g cm⁻³.

--- x ---
Compound: SmCdInSe3
Source: OQMD via LeMat-Bulk
Functional: PBE
Structure: optimized geometry

Unit cell a=7.5347 b=7.5347 c=11.2714 alpha=90.00 beta=90.00 gamma=33.09
Closest atoms and distances in Å follow each position.
Fractional coordinates of all 12 atoms:
Cd: 0.4602 0.4602 0.2500  4 Se 2.63-2.72
Cd: 0.5398 0.5398 0.7500  4 Se 2.63-2.72
In: 0.7489 0.7489 0.2500  6 Se 3.29-3.52
In: 0.2511 0.2511 0.7500  6 Se 3.29-3.52
Se: 0.3645 0.3645 0.0519  1 Cd 2.63
Se: 0.0760 0.0760 0.2500  2 Cd 2.72, 2 Sm 3.02
Se: 0.3645 0.3645 0.4481  1 Cd 2.63
Se: 0.6355 0.6355 0.5519  1 Cd 2.63
Se: 0.9240 0.9240 0.7500  2 Cd 2.72, 2 Sm 3.02
Se: 0.6355 0.6355 0.9481  1 Cd 2.63
Sm: 0.0000 0.0000 0.0000  6 Se 2.96-3.02
Sm: 0.0000 0.0000 0.5000  6 Se 2.96-3.02

Values from the calculation:
The space group is Cmcm. The volume is 349.4 Å³ per cell. The value obtained for the total moment is 0.0 μB/f.u. Its theoretical density is 5.84 g cm⁻³.

Which one is most stable, and which one is least stable? x is the most stable of them, while w is the least stable.

--- w ---
Compound: TbCdInSe3
Source: OQMD via LeMat-Bulk
Functional: PBE
Structure: optimized geometry

Unit cell a=12.5118 b=4.2676 c=12.5474 alpha=90.00 beta=90.00 gamma=90.00
Closest atoms and distances in Å follow each position.
Fractional coordinates of all 24 atoms:
Cd: 0.7558 0.0000 0.1913  4 Se 2.63-2.71
Cd: 0.2558 0.0000 0.3087  4 Se 2.63-2.71
Cd: 0.7442 0.5000 0.6913  4 Se 2.63-2.71
Cd: 0.2442 0.5000 0.8087  4 Se 2.63-2.71
In: 0.1555 0.0000 0.0137  3 Se 3.03-3.13
In: 0.6555 0.0000 0.4863  3 Se 3.03-3.13
In: 0.3445 0.5000 0.5137  3 Se 3.03-3.13
In: 0.8445 0.5000 0.9863  3 Se 3.03-3.13
Se: 0.5891 0.0000 0.0637  1 Cd 2.63, 2 Tb 2.91
Se: 0.9697 0.0000 0.1688  1 Cd 2.69, 2 Tb 2.96
Se: 0.2402 0.5000 0.1759  2 Cd 2.71, 1 Tb 2.88
Se: 0.7402 0.5000 0.3241  2 Cd 2.71, 1 Tb 2.88
Se: 0.4697 0.0000 0.3312  1 Cd 2.69, 2 Tb 2.96
Se: 0.0891 0.0000 0.4363  1 Cd 2.63, 2 Tb 2.91
Se: 0.9109 0.5000 0.5637  1 Cd 2.63, 2 Tb 2.91
Se: 0.5303 0.5000 0.6688  1 Cd 2.69, 2 Tb 2.96
Se: 0.2598 0.0000 0.6759  2 Cd 2.71, 1 Tb 2.88
Se: 0.7598 0.0000 0.8241  2 Cd 2.71, 1 Tb 2.88
Se: 0.0303 0.5000 0.8312  1 Cd 2.69, 2 Tb 2.96
Se: 0.4109 0.5000 0.9363  1 Cd 2.63, 2 Tb 2.91
Tb: 0.4700 0.5000 0.1682  6 Se 2.88-3.00
Tb: 0.9700 0.5000 0.3318  6 Se 2.88-3.00
Tb: 0.0300 0.0000 0.6682  6 Se 2.88-3.00
Tb: 0.5300 0.0000 0.8318  6 Se 2.88-3.00

Values from the calculation:
The space group is Pnma. The volume is 670.0 Å³ per cell. The value obtained for the total moment is 0.0 μB/f.u. Its theoretical density is 6.18 g cm⁻³.

--- x ---
Compound: TbCdInSe3
Source: OQMD via LeMat-Bulk
Functional: PBE
Structure: optimized geometry

Unit cell a=7.5356 b=7.5356 c=11.1161 alpha=90.00 beta=90.00 gamma=147.34
Closest atoms and distances in Å follow each position.
Fractional coordinates of all 12 atoms:
Cd: 0.5415 0.4585 0.2500  4 Se 2.62-2.71
Cd: 0.4585 0.5415 0.7500  4 Se 2.62-2.71
In: 0.2519 0.7481 0.2500  6 Se 3.28-3.53
In: 0.7481 0.2519 0.7500  6 Se 3.28-3.53
Se: 0.6339 0.3661 0.0476  1 Cd 2.62, 2 Tb 2.92
Se: 0.9249 0.0751 0.2500  2 Cd 2.71, 2 Tb 2.98
Se: 0.6339 0.3661 0.4524  1 Cd 2.62, 2 Tb 2.92
Se: 0.3661 0.6339 0.5476  1 Cd 2.62, 2 Tb 2.92
Se: 0.0751 0.9249 0.7500  2 Cd 2.71, 2 Tb 2.98
Se: 0.3661 0.6339 0.9524  1 Cd 2.62, 2 Tb 2.92
Tb: 0.0000 0.0000 0.0000  6 Se 2.92-2.98
Tb: 0.0000 0.0000 0.5000  6 Se 2.92-2.98

Values from the calculation:
The space group is Cmcm. The volume is 340.6 Å³ per cell. The value obtained for the total moment is 0.0 μB/f.u. Its theoretical density is 6.07 g cm⁻³.

Which one is most stable, and which one is least stable? x is the most stable of them, while w is the least stable.

--- w ---
Compound: YCdInSe3
Source: OQMD via LeMat-Bulk
Functional: PBE
Structure: optimized geometry

Unit cell a=12.5180 b=4.2486 c=12.5582 alpha=90.00 beta=90.00 gamma=90.00
Closest atoms and distances in Å follow each position.
Fractional coordinates of all 24 atoms:
Cd: 0.7562 0.0000 0.1898  4 Se 2.63-2.72
Cd: 0.2562 0.0000 0.3102  4 Se 2.63-2.72
Cd: 0.7438 0.5000 0.6898  4 Se 2.63-2.72
Cd: 0.2438 0.5000 0.8102  4 Se 2.63-2.72
In: 0.1549 0.0000 0.0155  3 Se 3.02-3.12
In: 0.6549 0.0000 0.4845  3 Se 3.02-3.12
In: 0.3451 0.5000 0.5155  3 Se 3.02-3.12
In: 0.8451 0.5000 0.9845  3 Se 3.02-3.12
Se: 0.5891 0.0000 0.0633  1 Cd 2.63, 2 Y 2.91
Se: 0.9700 0.0000 0.1704  1 Cd 2.69, 2 Y 2.94
Se: 0.2408 0.5000 0.1764  2 Cd 2.72, 1 Y 2.87
Se: 0.7408 0.5000 0.3236  2 Cd 2.72, 1 Y 2.87
Se: 0.4700 0.0000 0.3296  1 Cd 2.69, 2 Y 2.94
Se: 0.0891 0.0000 0.4367  1 Cd 2.63, 2 Y 2.91
Se: 0.9109 0.5000 0.5633  1 Cd 2.63, 2 Y 2.91
Se: 0.5300 0.5000 0.6704  1 Cd 2.69, 2 Y 2.94
Se: 0.2592 0.0000 0.6764  2 Cd 2.72, 1 Y 2.87
Se: 0.7592 0.0000 0.8236  2 Cd 2.72, 1 Y 2.87
Se: 0.0300 0.5000 0.8296  1 Cd 2.69, 2 Y 2.94
Se: 0.4109 0.5000 0.9367  1 Cd 2.63, 2 Y 2.91
Y: 0.4700 0.5000 0.1674  6 Se 2.87-2.99
Y: 0.9700 0.5000 0.3326  6 Se 2.87-2.99
Y: 0.0300 0.0000 0.6674  6 Se 2.87-2.99
Y: 0.5300 0.0000 0.8326  6 Se 2.87-2.99

Values from the calculation:
The space group is Pnma. The volume is 667.9 Å³ per cell. The value obtained for the total moment is 0.0 μB/f.u. Its theoretical density is 5.50 g cm⁻³.

--- x ---
Compound: YCdInSe3
Source: OQMD via LeMat-Bulk
Functional: PBE
Structure: optimized geometry

Unit cell a=7.5144 b=7.5144 c=11.1162 alpha=90.00 beta=90.00 gamma=32.72
Closest atoms and distances in Å follow each position.
Fractional coordinates of all 12 atoms:
Cd: 0.4576 0.4576 0.2500  4 Se 2.62-2.71
Cd: 0.5424 0.5424 0.7500  4 Se 2.62-2.71
In: 0.7476 0.7476 0.2500  6 Se 3.27-3.54
In: 0.2524 0.2524 0.7500  6 Se 3.27-3.54
Se: 0.3660 0.3660 0.0466  1 Cd 2.62, 2 Y 2.91
Se: 0.0749 0.0749 0.2500  2 Cd 2.71, 2 Y 2.98
Se: 0.3660 0.3660 0.4534  1 Cd 2.62, 2 Y 2.91
Se: 0.6340 0.6340 0.5466  1 Cd 2.62, 2 Y 2.91
Se: 0.9251 0.9251 0.7500  2 Cd 2.71, 2 Y 2.98
Se: 0.6340 0.6340 0.9534  1 Cd 2.62, 2 Y 2.91
Y: 0.0000 0.0000 0.0000  6 Se 2.91-2.98
Y: 0.0000 0.0000 0.5000  6 Se 2.91-2.98

Values from the calculation:
The space group is Cmcm. The volume is 339.2 Å³ per cell. The value obtained for the total moment is 0.0 μB/f.u. Its theoretical density is 5.41 g cm⁻³.

Which one is most stable, and which one is least stable? x is the most stable of them, while w is the least stable.